[1]
# PaBi2S5 (GGA-PBE, relaxed)
# crystal system: orthorhombic
# electronic total energy: -5.523 eV/atom
data_PaBi2S5
_chemical_formula_sum 'Pa4 Bi8 S20'
_cell_length_a 11.827
_cell_length_b 8.240
_cell_length_c 7.809
_cell_angle_alpha 90.00
_cell_angle_beta 90.00
_cell_angle_gamma 90.00
_symmetry_space_group_name_H-M 'P n m a'
_symmetry_Int_Tables_number 62
loop_
_symmetry_equiv_pos_as_xyz
'x,y,z'
'-x,-y,-z'
'-x+1/2,-y,z+1/2'
'x+1/2,y,-z+1/2'
'x+1/2,-y+1/2,-z+1/2'
'-x+1/2,y+1/2,z+1/2'
'-x,y+1/2,-z'
'x,-y+1/2,z'
loop_
_atom_site_label
_atom_site_type_symbol
_atom_site_fract_x
_atom_site_fract_y
_atom_site_fract_z
_atom_site_occupancy
Pa1 Pa 0.001 0.250 0.076 1
Bi1 Bi 0.179 0.511 0.493 1
S1 S 0.002 0.750 0.556 1
S2 S 0.087 0.541 0.162 1
S3 S 0.188 0.250 0.855 1
S4 S 0.220 0.750 0.816 1



[2]
# Y2HoCo2 (GGA-PBE, relaxed)
# crystal system: orthorhombic
# energy relative to the elements: -0.1592 eV/atom
data_Y2HoCo2
_chemical_formula_sum 'Y4 Ho2 Co4'
_cell_length_a 3.920
_cell_length_b 6.034
_cell_length_c 9.292
_cell_angle_alpha 90.00
_cell_angle_beta 90.00
_cell_angle_gamma 90.00
_symmetry_space_group_name_H-M 'I m m m'
_symmetry_Int_Tables_number 71
_symmetry_space_group_name_Hall '-I 2 2'
loop_
_atom_site_label
_atom_site_type_symbol
_atom_site_fract_x
_atom_site_fract_y
_atom_site_fract_z
_atom_site_occupancy
Y1 Y 0.000 0.000 0.195 1
Ho1 Ho 0.000 0.500 0.000 1
Co1 Co 0.000 0.311 0.500 1



[3]
# YFeHg2 (GGA-PBE, relaxed)
# crystal system: monoclinic
# energy relative to the elements: 0.0759 eV/atom
data_YFeHg2
_chemical_formula_sum 'Y1 Fe1 Hg2'
_cell_length_a 3.400
_cell_length_b 4.643
_cell_length_c 5.760
_cell_angle_alpha 90.00
_cell_angle_beta 90.18
_cell_angle_gamma 90.00
_symmetry_space_group_name_H-M 'P 1 m 1'
_symmetry_Int_Tables_number 6
loop_
_symmetry_equiv_pos_as_xyz
'x,y,z'
'x,-y,z'
loop_
_atom_site_label
_atom_site_type_symbol
_atom_site_fract_x
_atom_site_fract_y
_atom_site_fract_z
_atom_site_occupancy
Y1 Y 0.000 0.000 0.000 1
Fe1 Fe 0.501 0.500 0.228 1
Hg1 Hg 0.498 0.500 0.751 1
Hg2 Hg 0.502 0.000 0.462 1



[4]
# La2TaC2 (GGA-PBE, relaxed)
# crystal system: tetragonal
# energy relative to the elements: 1.2680 eV/atom
data_La2TaC2
_chemical_formula_sum 'La4 Ta2 C4'
_cell_length_a 4.550
_cell_length_b 4.550
_cell_length_c 9.869
_cell_angle_alpha 90.00
_cell_angle_beta 90.00
_cell_angle_gamma 90.00
_symmetry_space_group_name_H-M 'I 4/m m m'
_symmetry_Int_Tables_number 139
_symmetry_space_group_name_Hall '-I 4 2'
loop_
_atom_site_label
_atom_site_type_symbol
_atom_site_fract_x
_atom_site_fract_y
_atom_site_fract_z
_atom_site_occupancy
La1 La 0.000 0.000 0.152 1
Ta1 Ta 0.000 0.000 0.500 1
C1 C 0.000 0.500 0.250 1



[5]
# BeFeH (GGA-PBE, relaxed)
# crystal system: monoclinic
# electronic total energy: -5.224 eV/atom
data_BeFeH
_chemical_formula_sum 'Be4 Fe4 H4'
_cell_length_a 9.272
_cell_length_b 2.596
_cell_length_c 3.765
_cell_angle_alpha 90.00
_cell_angle_beta 108.59
_cell_angle_gamma 90.00
_symmetry_space_group_name_H-M 'C 1 2/m 1'
_symmetry_Int_Tables_number 12
loop_
_symmetry_equiv_pos_as_xyz
'x,y,z'
'-x,-y,-z'
'-x,y,-z'
'x,-y,z'
'x+1/2,y+1/2,z'
'-x+1/2,-y+1/2,-z'
'-x+1/2,y+1/2,-z'
'x+1/2,-y+1/2,z'
loop_
_atom_site_label
_atom_site_type_symbol
_atom_site_fract_x
_atom_site_fract_y
_atom_site_fract_z
_atom_site_occupancy
Be1 Be 0.080 0.000 0.303 1
Fe1 Fe 0.125 0.500 0.844 1
H1 H 0.224 0.000 0.732 1



[6]
# PtN2Cl (GGA-PBE, relaxed)
# crystal system: cubic
# electronic total energy: -3.713 eV/atom
data_PtN2Cl
_chemical_formula_sum 'Pt4 N8 Cl4'
_cell_length_a 5.647
_cell_length_b 5.647
_cell_length_c 5.647
_cell_angle_alpha 90.00
_cell_angle_beta 90.00
_cell_angle_gamma 90.00
_symmetry_space_group_name_H-M 'F m -3 m'
_symmetry_Int_Tables_number 225
_symmetry_space_group_name_Hall '-F 4 2 3'
loop_
_atom_site_label
_atom_site_type_symbol
_atom_site_fract_x
_atom_site_fract_y
_atom_site_fract_z
_atom_site_occupancy
Pt1 Pt 0.000 0.000 0.000 1
N1 N 0.250 0.250 0.250 1
Cl1 Cl 0.000 0.000 0.500 1



[7]
# LaZn6Pt4 (GGA-PBE, relaxed)
# crystal system: hexagonal
# energy relative to the elements: -0.6165 eV/atom
data_LaZn6Pt4
_chemical_formula_sum 'La1 Zn6 Pt4'
_cell_length_a 7.3570
_cell_length_b 7.3570
_cell_length_c 4.0898
_cell_angle_alpha 90.00
_cell_angle_beta 90.00
_cell_angle_gamma 120.00
_symmetry_space_group_name_H-M 'P -6 m 2'
_symmetry_Int_Tables_number 187
_symmetry_space_group_name_Hall 'P -6 2'
loop_
_atom_site_label
_atom_site_type_symbol
_atom_site_fract_x
_atom_site_fract_y
_atom_site_fract_z
_atom_site_occupancy
La1 La 0.0000 0.0000 0.0000 1
Zn1 Zn 0.0701 0.5351 0.0000 1
Zn2 Zn 0.4074 0.2037 0.5000 1
Pt1 Pt 0.1999 0.3998 0.5000 1
Pt2 Pt 0.6667 0.3333 0.0000 1



[8]
# PmPr4Sc (GGA-PBE, relaxed)
# crystal system: monoclinic
# energy relative to the elements: 0.0382 eV/atom
data_PmPr4Sc
_chemical_formula_sum 'Pm2 Pr8 Sc2'
_cell_length_a 6.292
_cell_length_b 10.863
_cell_length_c 6.277
_cell_angle_alpha 90.00
_cell_angle_beta 109.38
_cell_angle_gamma 90.00
_symmetry_space_group_name_H-M 'C 1 2/m 1'
_symmetry_Int_Tables_number 12
loop_
_symmetry_equiv_pos_as_xyz
'x,y,z'
'-x,-y,-z'
'-x,y,-z'
'x,-y,z'
'x+1/2,y+1/2,z'
'-x+1/2,-y+1/2,-z'
'-x+1/2,y+1/2,-z'
'x+1/2,-y+1/2,z'
loop_
_atom_site_label
_atom_site_type_symbol
_atom_site_fract_x
_atom_site_fract_y
_atom_site_fract_z
_atom_site_occupancy
Pm1 Pm 0.000 0.000 0.000 1
Pr1 Pr 0.000 0.167 0.500 1
Pr2 Pr 0.000 0.338 0.000 1
Sc1 Sc 0.000 0.500 0.500 1



[9]
# CaRe2Rh (GGA-PBE, relaxed)
# crystal system: tetragonal
# energy relative to the elements: 0.8768 eV/atom
data_CaRe2Rh
_chemical_formula_sum 'Ca4 Re8 Rh4'
_cell_length_a 7.746
_cell_length_b 7.746
_cell_length_c 5.080
_cell_angle_alpha 90.00
_cell_angle_beta 90.00
_cell_angle_gamma 90.00
_symmetry_space_group_name_H-M 'I -4 2 d'
_symmetry_Int_Tables_number 122
_symmetry_space_group_name_Hall 'I -4 2bw'
loop_
_atom_site_label
_atom_site_type_symbol
_atom_site_fract_x
_atom_site_fract_y
_atom_site_fract_z
_atom_site_occupancy
Ca1 Ca 0.000 0.000 0.000 1
Re1 Re 0.197 0.250 0.625 1
Rh1 Rh 0.000 0.000 0.500 1



[10]
# NaSr2Ca7 (GGA-PBE, relaxed)
# crystal system: orthorhombic
# energy relative to the elements: 0.1192 eV/atom
data_NaSr2Ca7
_chemical_formula_sum 'Na2 Sr4 Ca14'
_cell_length_a 7.234
_cell_length_b 32.742
_cell_length_c 3.815
_cell_angle_alpha 90.00
_cell_angle_beta 90.00
_cell_angle_gamma 90.00
_symmetry_space_group_name_H-M 'C m m m'
_symmetry_Int_Tables_number 65
_symmetry_space_group_name_Hall '-C 2 2'
loop_
_atom_site_label
_atom_site_type_symbol
_atom_site_fract_x
_atom_site_fract_y
_atom_site_fract_z
_atom_site_occupancy
Na1 Na 0.000 0.000 0.000 1
Sr1 Sr 0.000 0.293 0.500 1
Ca1 Ca 0.000 0.186 0.000 1
Ca2 Ca 0.000 0.500 0.500 1
Ca3 Ca 0.249 0.098 0.500 1



[11]
# MnCr2Rh (GGA-PBE, relaxed)
# crystal system: tetragonal
# energy relative to the elements: 0.0489 eV/atom
data_MnCr2Rh
_chemical_formula_sum 'Mn1 Cr2 Rh1'
_cell_length_a 3.683
_cell_length_b 3.683
_cell_length_c 3.680
_cell_angle_alpha 90.00
_cell_angle_beta 90.00
_cell_angle_gamma 90.00
_symmetry_space_group_name_H-M 'P 4/m m m'
_symmetry_Int_Tables_number 123
_symmetry_space_group_name_Hall '-P 4 2'
loop_
_atom_site_label
_atom_site_type_symbol
_atom_site_fract_x
_atom_site_fract_y
_atom_site_fract_z
_atom_site_occupancy
Mn1 Mn 0.000 0.000 0.000 1
Cr1 Cr 0.000 0.500 0.500 1
Rh1 Rh 0.500 0.500 0.000 1



[12]
# SrRePt2 (GGA-PBE, relaxed)
# crystal system: orthorhombic
# energy relative to the elements: 0.3150 eV/atom
data_SrRePt2
_chemical_formula_sum 'Sr2 Re2 Pt4'
_cell_length_a 3.817
_cell_length_b 5.289
_cell_length_c 8.501
_cell_angle_alpha 90.00
_cell_angle_beta 90.00
_cell_angle_gamma 90.00
_symmetry_space_group_name_H-M 'I m m m'
_symmetry_Int_Tables_number 71
_symmetry_space_group_name_Hall '-I 2 2'
loop_
_atom_site_label
_atom_site_type_symbol
_atom_site_fract_x
_atom_site_fract_y
_atom_site_fract_z
_atom_site_occupancy
Sr1 Sr 0.000 0.000 0.000 1
Re1 Re 0.000 0.000 0.500 1
Pt1 Pt 0.000 0.500 0.196 1



Q: Which total moment values were calculated for the entries above? A: 0.7, 0.0, 2.4, 1.1, 1.2, 0.0, 0.0, 0.0, 0.0, 0.0, 0.5, 0.3, in μB/f.u..
Q: Which theoretical density values were calculated for the entries above? A: 7.06, 6.96, 9.97, 7.85, 5.09, 9.54, 11.36, 6.18, 11.23, 1.76, 8.71, 12.85, in g/cm³.